Record 1
HfPbIN2 | Alexandria via LeMat-Bulk | meta-GGA SCAN | PBEsol geometry; DOS at the Fermi energy = 1.11 states/eV per cell; SG = No. 123; formation energy without anion corrections = 0.212 eV/atom; total energy = -192.72 eV/cell
1.0
-0.124 -4.289 -0.088
1.843 -0.133 3.874
-5.073 0.097 2.417
Pb I Hf N
1 1 1 2
Cartesian
-1.677 -2.162 3.101 Pb
-2.536 0.049 1.208 I
0.000 0.000 0.000 Hf
0.922 -0.066 1.937 N
-0.062 -2.145 -0.044 N

Record 2
HfPdIN2 | Alexandria via LeMat-Bulk | meta-GGA SCAN | PBEsol geometry; DOS at the Fermi energy = 3.89 states/eV per cell; SG = No. 123; formation energy without anion corrections = 1.541 eV/atom; total energy = -143.06 eV/cell
1.0
4.076 0.000 0.000
0.000 4.076 0.000
0.000 0.000 4.957
I Hf Pd N
1 1 1 2
Cartesian
0.000 0.000 2.479 I
2.038 2.038 2.479 Hf
0.000 0.000 0.000 Pd
0.000 2.038 0.000 N
2.038 0.000 0.000 N

Record 3
HfPdI2N | Alexandria via LeMat-Bulk | meta-GGA SCAN | PBEsol geometry; DOS at the Fermi energy = 4.24 states/eV per cell; SG = No. 123; formation energy without anion corrections = 0.860 eV/atom; total energy = -173.92 eV/cell
1.0
-2.340 -0.266 2.768
1.633 -5.288 0.873
3.963 1.806 3.525
I Hf Pd N
2 1 1 1
Cartesian
1.982 0.903 1.762 I
0.816 -2.644 0.437 I
1.628 -1.874 3.583 Hf
0.000 0.000 0.000 Pd
-1.170 -0.133 1.384 N

Record 4
HfSbI2N | Alexandria via LeMat-Bulk | meta-GGA SCAN | PBEsol geometry; DOS at the Fermi energy = 2.48 states/eV per cell; SG = No. 123; formation energy without anion corrections = 0.026 eV/atom; total energy = -182.58 eV/cell
1.0
-3.451 -1.422 1.234
1.765 -5.388 -1.272
2.151 -0.563 5.368
I Sb Hf N
2 1 1 1
Cartesian
1.076 -0.281 2.684 I
0.883 -2.694 -0.636 I
0.233 -3.686 2.665 Sb
0.000 0.000 0.000 Hf
-1.726 -0.711 0.617 N